The following is a SCAN calculation of LiVSn3P6O24 at its PBEsol-relaxed geometry, from the Alexandria database.

Properties
volume	13.0	Å³ per atom
total DFT energy (no corrections)	-12.002	eV per atom
calculated density	3.58	g/cm³
N(E_F)	0.00	states/eV/cell
formation energy from raw total energies	-80.5	eV/f.u.

Lattice parameters (Å, degrees): 8.459 8.459 8.839 61.41 61.41 60.00
Element x y z (fractional)
Li 0.021 0.021 0.937
V 0.146 0.146 0.561
Sn 0.856 0.856 0.433
Sn 0.643 0.643 0.070
Sn 0.356 0.356 0.933
P 0.249 0.965 0.250
P 0.965 0.536 0.250
P 0.536 0.249 0.250
P 0.453 0.762 0.754
P 0.031 0.453 0.754
P 0.762 0.031 0.754
O 0.778 0.842 0.914
O 0.466 0.778 0.914
O 0.114 0.884 0.266
O 0.842 0.466 0.914
O 0.454 0.818 0.228
O 0.188 0.013 0.427
O 0.884 0.736 0.266
O 0.818 0.500 0.228
O 0.500 0.454 0.228
O 0.601 0.823 0.575
O 0.251 0.911 0.735
O 0.001 0.601 0.575
O 0.013 0.372 0.427
O 0.736 0.114 0.266
O 0.372 0.188 0.427
O 0.474 0.561 0.780
O 0.185 0.474 0.780
O 0.103 0.251 0.735
O 0.823 0.001 0.575
O 0.561 0.185 0.780
O 0.154 0.525 0.093
O 0.911 0.103 0.735
O 0.525 0.228 0.093
O 0.228 0.154 0.093